The following is a GGA-PBE calculation of a relaxed structure of Ce6SnRh2, from Alexandria via LeMat-Bulk.

Properties
DOS at the Fermi energy (states/eV/cell): 44.3
ΔE_f (eV per atom): -0.39
Total magnetic moment (μB per formula unit): 1.67
Polymorph energy (0 for the lowest one) (kJ per mole of atoms): 11.3
Mass density (g/cm³): 8.39

a = 6.956 Å, b = 9.067 Å, c = 9.067 Å
α = 64.86°, β = 67.48°, γ = 67.48°
Last column: magnetic moment on the atom in μB.
Atoms (fractional coordinates):
Ce 0.541 0.512 0.637  0.15
Ce 0.259 0.952 0.549  0.38
Ce 0.241 0.451 0.048  0.38
Ce 0.311 0.011 0.137  0.15
Ce 0.959 0.363 0.488  0.15
Ce 0.689 0.989 0.863  0.15
Ce 0.759 0.549 0.952  0.38
Ce 0.741 0.048 0.451  0.38
Ce 0.459 0.488 0.363  0.15
Ce 0.811 0.137 0.011  0.15
Ce 0.041 0.637 0.512  0.15
Ce 0.189 0.863 0.989  0.15
Rh 0.579 0.785 0.715  -0.03
Rh 0.921 0.285 0.215  -0.03
Rh 0.079 0.715 0.785  -0.03
Rh 0.421 0.215 0.285  -0.03
Sn 0.750 0.750 0.250  0.00
Sn 0.250 0.250 0.750  0.00